Pm2Sm9Ho: optimized geometry, GGA-PBE.

calculated volume	33.56	Å³ per atom

a b c (Å): 5.121 5.121 15.356
angles (deg): 90.00 90.00 90.00
Atoms (fractional coordinates):
1 Pm 0.000 0.000 0.332
2 Pm 0.000 0.000 0.668
3 Sm 0.500 0.500 0.000
4 Sm 0.500 0.500 0.332
5 Sm 0.500 0.500 0.668
6 Sm 0.500 0.000 0.165
7 Sm 0.500 0.000 0.500
8 Sm 0.500 0.000 0.835
9 Sm 0.000 0.500 0.165
10 Sm 0.000 0.500 0.500
11 Sm 0.000 0.500 0.835
12 Ho 0.000 0.000 0.000

=====

PmSm2Ho8: optimized geometry, GGA-PBE.

energy above the most stable polymorph in this dataset	0.000	eV/atom
calculated volume	32.36	Å³ per atom

a b c (Å): 5.500 8.088 9.377
angles (deg): 115.55 107.03 90.00
Atoms (fractional coordinates):
1 Pm 0.500 0.000 0.000
2 Sm 0.200 0.700 0.400
3 Sm 0.800 0.300 0.600
4 Ho 0.639 0.846 0.277
5 Ho 0.361 0.569 0.723
6 Ho 0.161 0.161 0.323
7 Ho 0.000 0.294 0.000
8 Ho 0.839 0.839 0.677
9 Ho 0.639 0.431 0.277
10 Ho 0.361 0.154 0.723
11 Ho 0.000 0.706 0.000

=====

PmSm2Ho5: optimized geometry, GGA-PBE.

energy above the most stable polymorph in this dataset	0.000	eV/atom
calculated volume	32.04	Å³ per atom

a b c (Å): 5.034 7.134 14.273
angles (deg): 90.00 90.00 90.00
Atoms (fractional coordinates):
1 Pm 0.000 0.000 0.500
2 Pm 0.000 0.500 0.000
3 Sm 0.500 0.252 0.626
4 Sm 0.500 0.748 0.374
5 Sm 0.500 0.248 0.126
6 Sm 0.500 0.752 0.874
7 Ho 0.000 0.000 0.000
8 Ho 0.000 0.500 0.500
9 Ho 0.000 0.502 0.749
10 Ho 0.000 0.498 0.251
11 Ho 0.000 0.998 0.249
12 Ho 0.000 0.002 0.751
13 Ho 0.500 0.251 0.874
14 Ho 0.500 0.749 0.126
15 Ho 0.500 0.249 0.374
16 Ho 0.500 0.751 0.626

=====

Pm3Sm2Ho7: optimized geometry, GGA-PBE.

calculated volume	32.56	Å³ per atom

a b c (Å): 3.531 6.348 17.990
angles (deg): 75.69 90.00 90.00
Atoms (fractional coordinates):
1 Pm 0.500 0.500 0.000
2 Pm 0.000 0.112 0.341
3 Pm 0.000 0.888 0.659
4 Sm 0.500 0.617 0.326
5 Sm 0.500 0.383 0.674
6 Ho 0.500 0.246 0.500
7 Ho 0.500 0.754 0.500
8 Ho 0.000 0.563 0.164
9 Ho 0.000 0.000 0.000
10 Ho 0.000 0.437 0.836
11 Ho 0.500 0.941 0.835
12 Ho 0.500 0.059 0.165

=====

Pm2Sm8Ho: optimized geometry, GGA-PBE.

energy above the most stable polymorph in this dataset	0.143	eV/atom
calculated volume	34.28	Å³ per atom

a b c (Å): 6.758 10.316 10.316
angles (deg): 38.41 59.56 59.56
Atoms (fractional coordinates):
1 Pm 0.592 0.803 0.803
2 Pm 0.408 0.197 0.197
3 Sm 0.229 0.350 0.825
4 Sm 0.771 0.175 0.650
5 Sm 0.176 0.756 0.756
6 Sm 0.824 0.244 0.244
7 Sm 0.229 0.825 0.350
8 Sm 0.771 0.650 0.175
9 Sm 0.731 0.590 0.590
10 Sm 0.269 0.410 0.410
11 Ho 0.000 0.000 0.000

=====

Pm5Sm4Ho2: optimized geometry, GGA-PBE.

energy above the most stable polymorph in this dataset	0.000	eV/atom
calculated volume	33.76	Å³ per atom

a b c (Å): 3.569 11.719 9.080
angles (deg): 93.92 101.33 90.00
Atoms (fractional coordinates):
1 Pm 0.903 0.463 0.807
2 Pm 0.097 0.537 0.193
3 Pm 0.822 0.928 0.645
4 Pm 0.500 0.000 0.000
5 Pm 0.178 0.072 0.355
6 Sm 0.359 0.204 0.718
7 Sm 0.963 0.738 0.925
8 Sm 0.641 0.796 0.282
9 Sm 0.037 0.262 0.075
10 Ho 0.716 0.356 0.431
11 Ho 0.284 0.644 0.569

=====

VASP energy: -4.695; -4.506; -4.617; -4.560; -4.554; -4.632 (eV/atom)